NiHgF5: optimized geometry, PBE with a Hubbard U.

## Properties
The uncorrected energy comes out at -46.07 eV/cell.

CIF file:
```
data_NiHgF5
_chemical_formula_sum 'Ni2 Hg2 F10'
_cell_length_a 3.8466
_cell_length_b 6.6690
_cell_length_c 8.1132
_cell_angle_alpha 90.00
_cell_angle_beta 90.00
_cell_angle_gamma 90.00
_symmetry_space_group_name_H-M 'I m m m'
_symmetry_Int_Tables_number 71
_symmetry_space_group_name_Hall '-I 2 2'
loop_
_atom_site_label
_atom_site_type_symbol
_atom_site_fract_x
_atom_site_fract_y
_atom_site_fract_z
_atom_site_occupancy
Ni1 Ni 0.0000 0.0000 0.0000 1
Hg1 Hg 0.0000 0.0000 0.5000 1
F1 F 0.0000 0.0000 0.2402 1
F2 F 0.0000 0.2910 0.0000 1
F3 F 0.0000 0.5000 0.5000 1
```